# GGA-PBE U2SbH3, relaxed
data_U2SbH3
_symmetry_space_group_name_H-M 'C 1 2/m 1'
_symmetry_Int_Tables_number 12
_cell_length_a 13.7190
_cell_length_b 4.0325
_cell_length_c 6.6006
_cell_angle_alpha 90.00
_cell_angle_beta 112.66
_cell_angle_gamma 90.00
loop_
_symmetry_equiv_pos_as_xyz
'x,y,z'
'-x,-y,-z'
'-x,y,-z'
'x,-y,z'
'x+1/2,y+1/2,z'
'-x+1/2,-y+1/2,-z'
'-x+1/2,y+1/2,-z'
'x+1/2,-y+1/2,z'
loop_
_atom_site_label
_atom_site_fract_x
_atom_site_fract_y
_atom_site_fract_z
U1 0.0076 0.0000 0.1955
U2 0.1650 0.5000 0.6103
Sb1 0.1600 0.5000 0.0994
H1 0.0000 0.5000 0.3481
H2 0.0833 0.0000 0.5864
H3 0.1833 0.0000 0.4466
# V in Å³/atom: 14.04
# VASP energy in eV per atom: -6.43
# Density of states at the Fermi level in states/eV/atom: 1.117
# Theoretical density in g/cm³: 11.8